Below is crystalline DySc2Mo at its relaxed geometry, with properties calculated at the PBE-GGA level.

Energy relative to the lowest polymorph listed for this composition, eV per atom: 0.201
Calculated formation energy, eV/atom: 0.345

Cell and atoms, written as CIF:
```
data_DySc2Mo
_symmetry_space_group_name_H-M 'R -3 m'
_symmetry_Int_Tables_number 166
_symmetry_space_group_name_Hall '-R 3 2"'
_cell_length_a 3.2536
_cell_length_b 3.2536
_cell_length_c 31.8015
_cell_angle_alpha 90.00
_cell_angle_beta 90.00
_cell_angle_gamma 120.00
loop_
_atom_site_label
_atom_site_type_symbol
_atom_site_fract_x
_atom_site_fract_y
_atom_site_fract_z
Dy1 Dy 0.0000 0.0000 0.0000
Sc1 Sc 0.0000 0.0000 0.1037
Mo1 Mo 0.0000 0.0000 0.5000
```

Below is crystalline MgTcIr at its relaxed geometry, with properties calculated at the PBE-GGA level.

Energy relative to the lowest polymorph listed for this composition, eV per atom: 0.143
Calculated formation energy, eV/atom: -0.052

Cell and atoms, written as CIF:
```
data_MgTcIr
_symmetry_space_group_name_H-M 'P n m a'
_symmetry_Int_Tables_number 62
_symmetry_space_group_name_Hall '-P 2ac 2n'
_cell_length_a 6.809
_cell_length_b 4.221
_cell_length_c 7.271
_cell_angle_alpha 90.00
_cell_angle_beta 90.00
_cell_angle_gamma 90.00
loop_
_atom_site_label
_atom_site_type_symbol
_atom_site_fract_x
_atom_site_fract_y
_atom_site_fract_z
Mg1 Mg 0.009 0.250 0.178
Tc1 Tc 0.167 0.250 0.588
Ir1 Ir 0.192 0.750 0.401
```

Below is crystalline AlHgIN2 at its relaxed geometry, with properties calculated at the PBE-GGA level.

Energy relative to the lowest polymorph listed for this composition, eV per atom: 0.868
Formation energy from raw total energies, eV per atom: 1.757

Cell and atoms, written as CIF:
```
data_AlHgIN2
_symmetry_space_group_name_H-M 'P 4/m m m'
_symmetry_Int_Tables_number 123
_symmetry_space_group_name_Hall '-P 4 2'
_cell_length_a 4.367
_cell_length_b 4.367
_cell_length_c 7.796
_cell_angle_alpha 90.00
_cell_angle_beta 90.00
_cell_angle_gamma 90.00
loop_
_atom_site_label
_atom_site_type_symbol
_atom_site_fract_x
_atom_site_fract_y
_atom_site_fract_z
Al1 Al 0.000 0.000 0.000
Hg1 Hg 0.500 0.500 0.500
I1 I 0.500 0.500 0.000
N1 N 0.000 0.500 0.500
```

Below is crystalline CaB3Cl at its relaxed geometry, with properties calculated at the PBE-GGA level.

Energy relative to the lowest polymorph listed for this composition, eV per atom: 0.649
Formation energy from raw total energies, eV per atom: 2.548

Cell and atoms, written as CIF:
```
data_CaB3Cl
_symmetry_space_group_name_H-M 'P m -3 m'
_symmetry_Int_Tables_number 221
_symmetry_space_group_name_Hall '-P 4 2 3'
_cell_length_a 5.218
_cell_length_b 5.218
_cell_length_c 5.218
_cell_angle_alpha 90.00
_cell_angle_beta 90.00
_cell_angle_gamma 90.00
loop_
_atom_site_label
_atom_site_type_symbol
_atom_site_fract_x
_atom_site_fract_y
_atom_site_fract_z
Ca1 Ca 0.000 0.000 0.000
B1 B 0.000 0.000 0.500
Cl1 Cl 0.500 0.500 0.500
```

Below is crystalline RbGaHg3 at its relaxed geometry, with properties calculated at the PBE-GGA level.

Energy relative to the lowest polymorph listed for this composition, eV per atom: 0.000
Calculated formation energy, eV/atom: -0.117

Cell and atoms, written as CIF:
```
data_RbGaHg3
_symmetry_space_group_name_H-M 'C 1 2/c 1'
_symmetry_Int_Tables_number 15
_symmetry_space_group_name_Hall '-C 2yc'
_cell_length_a 14.361
_cell_length_b 11.501
_cell_length_c 7.688
_cell_angle_alpha 90.00
_cell_angle_beta 107.27
_cell_angle_gamma 90.00
loop_
_atom_site_label
_atom_site_type_symbol
_atom_site_fract_x
_atom_site_fract_y
_atom_site_fract_z
Rb1 Rb 0.000 0.023 0.250
Rb2 Rb 0.000 0.339 0.750
Ga1 Ga 0.099 0.335 0.314
Hg1 Hg 0.175 0.498 0.096
Hg2 Hg 0.178 0.165 0.602
Hg3 Hg 0.189 0.159 0.092
```

Below is crystalline Ca2MgGaN at its relaxed geometry, with properties calculated at the PBE-GGA level.

Formation energy from raw total energies, eV per atom: -0.546

Cell and atoms, written as CIF:
```
data_Ca2MgGaN
_symmetry_space_group_name_H-M 'P 4/m m m'
_symmetry_Int_Tables_number 123
_symmetry_space_group_name_Hall '-P 4 2'
_cell_length_a 4.960
_cell_length_b 4.960
_cell_length_c 4.209
_cell_angle_alpha 90.00
_cell_angle_beta 90.00
_cell_angle_gamma 90.00
loop_
_atom_site_label
_atom_site_type_symbol
_atom_site_fract_x
_atom_site_fract_y
_atom_site_fract_z
Ca1 Ca 0.000 0.500 0.000
Mg1 Mg 0.000 0.000 0.500
Ga1 Ga 0.500 0.500 0.500
N1 N 0.000 0.000 0.000
```

Below is crystalline Zn2CoAs at its relaxed geometry, with properties calculated at the PBE-GGA level.

Calculated formation energy, eV/atom: 0.140

Cell and atoms, written as CIF:
```
data_Zn2CoAs
_symmetry_space_group_name_H-M 'P 1 2/m 1'
_symmetry_Int_Tables_number 10
_symmetry_space_group_name_Hall '-P 2y'
_cell_length_a 2.837
_cell_length_b 4.755
_cell_length_c 4.335
_cell_angle_alpha 90.00
_cell_angle_beta 97.18
_cell_angle_gamma 90.00
loop_
_atom_site_label
_atom_site_type_symbol
_atom_site_fract_x
_atom_site_fract_y
_atom_site_fract_z
Zn1 Zn 0.227 0.000 0.263
Co1 Co 0.500 0.500 0.500
As1 As 0.000 0.500 0.000
```

Below is crystalline NaGaSnPb at its relaxed geometry, with properties calculated at the PBE-GGA level.

Calculated formation energy, eV/atom: -0.039

Cell and atoms, written as CIF:
```
data_NaGaSnPb
_symmetry_space_group_name_H-M 'F -4 3 m'
_symmetry_Int_Tables_number 216
_symmetry_space_group_name_Hall 'F -4 2 3'
_cell_length_a 7.546
_cell_length_b 7.546
_cell_length_c 7.546
_cell_angle_alpha 90.00
_cell_angle_beta 90.00
_cell_angle_gamma 90.00
loop_
_atom_site_label
_atom_site_type_symbol
_atom_site_fract_x
_atom_site_fract_y
_atom_site_fract_z
Na1 Na 0.000 0.000 0.000
Ga1 Ga 0.250 0.250 0.250
Sn1 Sn 0.000 0.000 0.500
Pb1 Pb 0.250 0.250 0.750
```

Number 1: energy -6.679 eV/atom, total moment 0.0 μB per cell. Number 2: energy -6.993 eV/atom, total moment 0.0 μB per cell. Number 3: energy -2.692 eV/atom, total moment 3.2 μB per cell. Number 4: energy -2.228 eV/atom, total moment 3.1 μB per cell. Number 5: energy -1.097 eV/atom, total moment 0.0 μB per cell. Number 6: energy -3.936 eV/atom, total moment 0.0 μB per cell. Number 7: energy -3.436 eV/atom, total moment 0.3 μB per cell. Number 8: energy -3.053 eV/atom, total moment 0.0 μB per cell.